Material: V3AsPd
Method: DFT, PBE
State: relaxed Values from VASP.

The symmetry is Pm-3m. The energy above the most stable polymorph in this dataset is 0.426 eV per atom. The calculation puts the calculated density at 5.421 g/cm3.

Cell and atoms, written as Quantum ESPRESSO input:
```
&SYSTEM
  ibrav = 0, nat = 5, ntyp = 3
/
ATOMIC_SPECIES
As 74.92 As.upf
Pd 106.42 Pd.upf
V 50.94 V.upf
CELL_PARAMETERS angstrom
-1.546 -4.364 0.668
3.859 -0.992 2.451
-2.146 1.361 3.928
ATOMIC_POSITIONS crystal
As 0.500 0.500 0.500
Pd 0.000 0.000 0.000
V 0.000 0.500 0.000
V 0.000 0.000 0.500
V 0.500 0.000 0.000
```

---

Material: SmScTcAg
Method: DFT, PBE
State: relaxed Values from VASP.

The symmetry is F-43m. The total DFT energy (no corrections) is -24.6 eV per formula unit. The calculation puts the calculated density at 8.068 g/cm3.

Cell and atoms, written as Quantum ESPRESSO input:
```
&SYSTEM
  ibrav = 0, nat = 4, ntyp = 4
/
ATOMIC_SPECIES
Sc 44.96 Sc.upf
Ag 107.87 Ag.upf
Sm 150.36 Sm.upf
Tc 98.00 Tc.upf
CELL_PARAMETERS angstrom
-1.356 1.618 4.408
1.797 -2.097 4.033
3.189 2.424 2.801
ATOMIC_POSITIONS crystal
Sc 0.250 0.250 0.250
Ag 0.000 0.000 0.000
Sm 0.750 0.750 0.750
Tc 0.500 0.500 0.500
```

---

Material: CeZrTlCd
Method: DFT, PBE
State: relaxed Values from VASP.

The symmetry is F-43m. The total DFT energy (no corrections) is -18.0 eV per formula unit. The calculation puts the calculated density at 8.927 g/cm3.

Cell and atoms, written as Quantum ESPRESSO input:
```
&SYSTEM
  ibrav = 0, nat = 4, ntyp = 4
/
ATOMIC_SPECIES
Tl 204.38 Tl.upf
Zr 91.22 Zr.upf
Ce 140.12 Ce.upf
Cd 112.41 Cd.upf
CELL_PARAMETERS angstrom
-1.305 4.075 3.032
-3.529 3.495 -1.681
-4.748 0.205 2.216
ATOMIC_POSITIONS crystal
Tl 0.250 0.250 0.250
Zr 0.500 0.500 0.500
Ce 0.000 0.000 0.000
Cd 0.750 0.750 0.750
```

---

Repeat the first record exactly.
Material: V3AsPd
Method: DFT, PBE
State: relaxed Values from VASP.

The symmetry is Pm-3m. The energy above the most stable polymorph in this dataset is 0.426 eV per atom. The calculation puts the calculated density at 5.421 g/cm3.

Cell and atoms, written as Quantum ESPRESSO input:
```
&SYSTEM
  ibrav = 0, nat = 5, ntyp = 3
/
ATOMIC_SPECIES
As 74.92 As.upf
Pd 106.42 Pd.upf
V 50.94 V.upf
CELL_PARAMETERS angstrom
-1.546 -4.364 0.668
3.859 -0.992 2.451
-2.146 1.361 3.928
ATOMIC_POSITIONS crystal
As 0.500 0.500 0.500
Pd 0.000 0.000 0.000
V 0.000 0.500 0.000
V 0.000 0.000 0.500
V 0.500 0.000 0.000
```

---

What is the formula in the third record? CeZrTlCd

---

calculated density of number 2 (SmScTcAg)? 8.068 g/cm3